# 1
# LaPrSm2Tl2 PBE optimized geometry
data_LaPrSm2Tl2
_chemical_formula_sum 'La2 Pr2 Sm4 Tl4'
_symmetry_space_group_name_H-M 'P m c 21'
_symmetry_Int_Tables_number 26
_symmetry_space_group_name_Hall 'P 2c -2'
_cell_length_a 5.254
_cell_length_b 10.424
_cell_length_c 6.926
_cell_angle_alpha 90.00
_cell_angle_beta 90.00
_cell_angle_gamma 90.00
loop_
_atom_site_label
_atom_site_fract_x
_atom_site_fract_y
_atom_site_fract_z
La1 0.000 0.047 0.000
Pr1 0.500 0.188 0.745
Sm1 0.000 0.315 0.387
Sm2 0.500 0.457 0.114
Tl1 0.000 0.373 0.856
Tl2 0.500 0.141 0.271
# Electronic total energy = -51.08 eV per cell
# Crystal system = orthorhombic
# Formation enthalpy at 0 K = -0.277 eV/atom

# 2
# La2PrSm7Tl2 PBE optimized geometry
data_La2PrSm7Tl2
_chemical_formula_sum 'La4 Pr2 Sm14 Tl4'
_symmetry_space_group_name_H-M 'C m m m'
_symmetry_Int_Tables_number 65
_symmetry_space_group_name_Hall '-C 2 2'
_cell_length_a 7.022
_cell_length_b 10.250
_cell_length_c 11.280
_cell_angle_alpha 90.00
_cell_angle_beta 90.00
_cell_angle_gamma 90.00
loop_
_atom_site_label
_atom_site_fract_x
_atom_site_fract_y
_atom_site_fract_z
La1 0.000 0.000 0.149
Pr1 0.000 0.500 0.500
Sm1 0.000 0.000 0.500
Sm2 0.000 0.311 0.000
Sm3 0.250 0.250 0.329
Tl1 0.000 0.500 0.221
# Electronic total energy = -105.34 eV per cell
# Crystal system = orthorhombic
# Formation enthalpy at 0 K = -0.023 eV/atom

# 3
# La4Pr2SmTm PBE optimized geometry
data_La4Pr2SmTm
_chemical_formula_sum 'La4 Pr2 Sm1 Tm1'
_symmetry_space_group_name_H-M 'P 1 2/m 1'
_symmetry_Int_Tables_number 10
_symmetry_space_group_name_Hall '-P 2y'
_cell_length_a 5.225
_cell_length_b 5.258
_cell_length_c 10.320
_cell_angle_alpha 90.00
_cell_angle_beta 90.05
_cell_angle_gamma 90.00
loop_
_atom_site_label
_atom_site_fract_x
_atom_site_fract_y
_atom_site_fract_z
La1 0.000 0.000 0.248
La2 0.500 0.500 0.248
Pr1 0.000 0.500 0.000
Pr2 0.500 0.000 0.500
Sm1 0.000 0.500 0.500
Tm1 0.500 0.000 0.000
# Electronic total energy = -38.35 eV per cell
# Crystal system = monoclinic
# Formation enthalpy at 0 K = 0.014 eV/atom